VASP calculation (PBE-GGA) on a relaxed K2BaTeSe crystal.

Cell lengths 5.897, 5.897, 6.439 Å; angles 90.00, 90.00, 90.00 degrees
Fractional positions:
1 K 0.000 0.500 0.000
2 K 0.500 0.000 0.000
3 Ba 0.000 0.000 0.562
4 Te 0.500 0.500 0.621
5 Se 0.000 0.000 0.084

## Properties
- E_form (uncorrected): -1.173 eV/atom
- Density of states at the Fermi level: 0.0 states/eV/cell
- Symmetry: P4mm, No. 99